No. 1
Nd9SmAl2 | Alexandria | GGA-PBE | optimized geometry; M_tot = 0.00 μB per formula unit; total energy = -56.244 eV for the cell shown
1.0
4.958 0.000 0.000
0.000 4.958 0.000
0.000 0.000 15.255
Nd Sm Al
9 1 2
Direct
0.000 0.000 0.000
0.000 0.000 0.341
0.000 0.000 0.659
0.000 0.500 0.179
0.000 0.500 0.500
0.000 0.500 0.821
0.500 0.000 0.179
0.500 0.000 0.500
0.500 0.000 0.821
0.500 0.500 0.000
0.500 0.500 0.340
0.500 0.500 0.660


No. 2
Ho2CdCl | Alexandria | GGA-PBE | optimized geometry; M_tot = 0.00 μB per formula unit; E_form (uncorrected) = -0.402 eV per atom
1.0
1.705 0.985 10.769
-1.705 0.985 10.769
0.000 -1.969 10.769
Ho Cd Cl
2 1 1
Direct
0.098 0.098 0.098
0.902 0.902 0.902
0.000 0.000 0.000
0.500 0.500 0.500


No. 3
Sr2HPb | Alexandria | GGA-PBE | optimized geometry; M_tot = 0.35 μB per formula unit; energy above the lowest structure with this stoichiometry = 449 meV/atom
1.0
1.949 1.125 9.717
-1.949 1.125 9.717
0.000 -2.250 9.717
Sr H Pb
2 1 1
Direct
0.113 0.113 0.113
0.887 0.887 0.887
0.500 0.500 0.500
0.000 0.000 0.000


No. 4
SmTcN3 | Alexandria | GGA-PBE | optimized geometry; M_tot = 0.00 μB per formula unit; E_form (uncorrected) = -0.551 eV per atom
1.0
5.519 -4.942 0.000
5.519 4.942 0.000
-2.319 0.000 5.871
Sm Tc N
4 4 12
Direct
0.092 0.908 0.750
0.304 0.696 0.250
0.696 0.304 0.750
0.908 0.092 0.250
0.202 0.378 0.769
0.378 0.202 0.269
0.622 0.798 0.731
0.798 0.622 0.231
0.002 0.225 0.661
0.134 0.622 0.846
0.225 0.002 0.161
0.346 0.349 0.056
0.349 0.346 0.556
0.378 0.866 0.654
0.622 0.134 0.346
0.651 0.654 0.444
0.654 0.651 0.944
0.775 0.998 0.839
0.866 0.378 0.154
0.998 0.775 0.339


No. 5
Pr5Sn2Bi | Alexandria | GGA-PBE | optimized geometry; M_tot = 2.57 μB per formula unit; total energy = -82.493 eV for the cell shown
1.0
-4.242 4.242 7.229
4.242 -4.242 7.229
4.242 4.242 -7.229
Pr Sn Bi
10 4 2
Direct
0.000 0.000 0.000
0.013 0.513 0.822
0.191 0.013 0.500
0.309 0.809 0.822
0.487 0.309 0.500
0.500 0.500 0.000
0.513 0.691 0.500
0.691 0.191 0.178
0.809 0.987 0.500
0.987 0.487 0.178
0.137 0.363 0.500
0.363 0.863 0.226
0.637 0.137 0.774
0.863 0.637 0.500
0.250 0.250 0.000
0.750 0.750 0.000


No. 6
ErTiRh2 | Alexandria | GGA-PBE | optimized geometry; M_tot = 0.00 μB per formula unit; energy above the lowest structure with this stoichiometry = 61 meV/atom
1.0
0.000 3.251 3.251
3.251 0.000 3.251
3.251 3.251 0.000
Er Ti Rh
1 1 2
Direct
0.000 0.000 0.000
0.500 0.500 0.500
0.250 0.250 0.250
0.750 0.750 0.750


No. 7
MgOs | Alexandria | GGA-PBE | optimized geometry; M_tot = 0.00 μB per formula unit; total energy = -100.114 eV for the cell shown
1.0
6.836 0.000 0.000
0.000 4.352 0.000
0.000 0.000 9.235
Mg Os
8 8
Direct
0.121 0.250 0.235
0.158 0.750 0.003
0.342 0.250 0.503
0.379 0.750 0.735
0.621 0.250 0.265
0.658 0.750 0.497
0.842 0.250 0.997
0.879 0.750 0.765
0.047 0.750 0.432
0.137 0.250 0.797
0.363 0.750 0.297
0.453 0.250 0.932
0.547 0.750 0.068
0.637 0.250 0.703
0.863 0.750 0.203
0.953 0.250 0.568


No. 8
ScBe17Ru | Alexandria | GGA-PBE | optimized geometry; M_tot = 0.00 μB per formula unit; total energy = -82.072 eV for the cell shown
1.0
3.683 2.126 3.585
-3.683 2.126 3.585
0.000 -4.252 3.585
Sc Be Ru
1 17 1
Direct
0.000 0.000 0.000
0.011 0.011 0.492
0.011 0.492 0.011
0.154 0.664 0.664
0.316 0.316 0.802
0.316 0.802 0.316
0.366 0.653 0.959
0.366 0.959 0.653
0.492 0.011 0.011
0.558 0.558 0.558
0.653 0.366 0.959
0.653 0.959 0.366
0.664 0.154 0.664
0.664 0.664 0.154
0.755 0.755 0.755
0.802 0.316 0.316
0.959 0.366 0.653
0.959 0.653 0.366
0.329 0.329 0.329


No. 9
KAc2RhO6 | Alexandria | GGA-PBE | optimized geometry; M_tot = 2.02 μB per formula unit; E_form (uncorrected) = -2.127 eV per atom
1.0
5.827 0.000 0.000
0.000 6.412 0.000
-5.615 0.000 8.511
K Ac Rh O
2 4 2 12
Direct
0.000 0.000 0.000
0.000 0.500 0.500
0.221 0.062 0.739
0.221 0.438 0.239
0.779 0.562 0.761
0.779 0.938 0.261
0.500 0.000 0.500
0.500 0.500 0.000
0.171 0.156 0.460
0.171 0.344 0.960
0.266 0.741 0.412
0.266 0.759 0.912
0.411 0.077 0.286
0.411 0.423 0.786
0.589 0.577 0.214
0.589 0.923 0.714
0.734 0.241 0.088
0.734 0.259 0.588
0.829 0.656 0.040
0.829 0.844 0.540


No. 10
TlCu2Cl6 | Alexandria | GGA-PBE | optimized geometry; M_tot = 1.07 μB per formula unit; E_form (uncorrected) = -0.550 eV per atom
1.0
6.385 -1.966 0.000
6.385 1.966 0.000
-1.821 0.000 9.959
Tl Cu Cl
1 2 6
Direct
0.000 0.000 0.000
0.296 0.296 0.284
0.704 0.704 0.716
0.115 0.115 0.237
0.152 0.152 0.621
0.373 0.373 0.082
0.627 0.627 0.918
0.848 0.848 0.379
0.885 0.885 0.763


No. 11
Y6PtSe2S3 | Alexandria | GGA-PBE | optimized geometry; M_tot = 0.00 μB per formula unit; E_form (uncorrected) = -1.787 eV per atom
1.0
8.792 -1.976 0.000
8.792 1.976 0.000
-1.848 0.000 7.926
Y Pt Se S
6 1 2 3
Direct
0.003 0.003 0.255
0.334 0.334 0.426
0.337 0.337 0.906
0.663 0.663 0.094
0.666 0.666 0.574
0.997 0.997 0.745
0.500 0.500 0.500
0.168 0.168 0.838
0.832 0.832 0.162
0.170 0.170 0.334
0.500 0.500 0.000
0.830 0.830 0.666


No. 12
CaLa2Ga2Cu2 | Alexandria | GGA-PBE | optimized geometry; M_tot = 0.00 μB per formula unit; total energy = -28.430 eV for the cell shown
1.0
2.233 1.289 9.317
-2.233 1.289 9.317
0.000 -2.578 9.317
Ca La Ga Cu
1 2 2 2
Direct
0.000 0.000 0.000
0.130 0.130 0.130
0.870 0.870 0.870
0.264 0.264 0.264
0.736 0.736 0.736
0.401 0.401 0.401
0.599 0.599 0.599